[1]
! YTa2CdCo PBE optimized geometry; values from VASP
! * DFT formation energy: 2053 meV/atom
! * calculated density: 8931 kg/m³
! * D(E_F): 1.249 states/eV per atom
&SYSTEM
  ibrav = 0, nat = 5, ntyp = 4
/
ATOMIC_SPECIES
Y 88.91 Y.upf
Ta 180.95 Ta.upf
Cd 112.41 Cd.upf
Co 58.93 Co.upf
ATOMIC_POSITIONS crystal
Y 0.0000 0.0000 0.0000
Ta 0.0000 0.5000 0.0000
Ta 0.5000 0.0000 0.0000
Cd 0.5000 0.5000 0.5000
Co 0.0000 0.0000 0.5000
CELL_PARAMETERS angstrom
5.0508 0.0000 0.0000
0.0000 5.0508 0.0000
0.0000 0.0000 4.5346

=====

[2]
! Ba2BePt PBE optimized geometry; values from VASP
! * DFT formation energy: -342 meV/atom
! * calculated density: 5649 kg/m³
! * D(E_F): 0.706 states/eV per atom
&SYSTEM
  ibrav = 0, nat = 4, ntyp = 3
/
ATOMIC_SPECIES
Ba 137.33 Ba.upf
Be 9.01 Be.upf
Pt 195.08 Pt.upf
ATOMIC_POSITIONS crystal
Ba 0.0000 0.0000 0.0000
Ba 0.5000 0.2547 0.2547
Be 0.5000 0.5967 0.5967
Pt 0.0000 0.6541 0.6541
CELL_PARAMETERS angstrom
4.2004 0.0000 0.0000
0.0000 2.2762 7.3592
0.0000 -2.2762 7.3592

=====

[3]
! MgRe4Ag PBE optimized geometry; values from VASP
! * DFT formation energy: 497 meV/atom
! * calculated density: 14288 kg/m³
! * D(E_F): 0.699 states/eV per atom
&SYSTEM
  ibrav = 0, nat = 6, ntyp = 3
/
ATOMIC_SPECIES
Mg 24.30 Mg.upf
Re 186.21 Re.upf
Ag 107.87 Ag.upf
ATOMIC_POSITIONS crystal
Mg 0.0000 0.0000 0.0000
Re 0.1262 0.6246 0.6246
Re 0.6246 0.1262 0.6246
Re 0.6246 0.6246 0.1262
Re 0.6246 0.6246 0.6246
Ag 0.2500 0.2500 0.2500
CELL_PARAMETERS angstrom
0.0000 3.7075 3.7075
3.7075 0.0000 3.7075
3.7075 3.7075 0.0000

=====

[4]
! AlGe2Pd8 PBE optimized geometry; values from VASP
! * DFT formation energy: -520 meV/atom
! * energy above the most stable polymorph in this dataset: 0.0 meV/atom
! * calculated density: 10031 kg/m³
! * D(E_F): 0.371 states/eV per atom
&SYSTEM
  ibrav = 0, nat = 11, ntyp = 3
/
ATOMIC_SPECIES
Al 26.98 Al.upf
Ge 72.64 Ge.upf
Pd 106.42 Pd.upf
ATOMIC_POSITIONS crystal
Al 0.0000 0.0000 0.0000
Ge 0.3150 0.3150 0.0000
Ge 0.6850 0.6850 0.0000
Pd 0.1121 0.8362 0.2759
Pd 0.1378 0.6378 0.5000
Pd 0.3074 0.5000 0.8074
Pd 0.4397 0.1638 0.2759
Pd 0.5603 0.8362 0.7241
Pd 0.6926 0.5000 0.1926
Pd 0.8622 0.3622 0.5000
Pd 0.8879 0.1638 0.7241
CELL_PARAMETERS angstrom
-2.0174 3.5523 5.9112
2.0174 -3.5523 5.9112
2.0174 3.5523 -5.9112

=====

[5]
! CoRePb2 PBE optimized geometry; values from VASP
! * DFT formation energy: 951 meV/atom
! * energy above the most stable polymorph in this dataset: 488.4 meV/atom
! * calculated density: 14759 kg/m³
! * D(E_F): 1.016 states/eV per atom
&SYSTEM
  ibrav = 0, nat = 4, ntyp = 3
/
ATOMIC_SPECIES
Co 58.93 Co.upf
Re 186.21 Re.upf
Pb 207.20 Pb.upf
ATOMIC_POSITIONS crystal
Co 0.0000 0.0000 0.0000
Re 0.0000 0.0000 0.5000
Pb 0.4874 0.5000 0.2450
Pb 0.5126 0.5000 0.7550
CELL_PARAMETERS angstrom
3.3697 0.0000 0.0000
0.0000 3.3669 0.0000
-0.2768 0.0000 6.5403

=====

[6]
! AcLa2Pm3S6 PBE optimized geometry; values from VASP
! * E_form (uncorrected): -2.074 eV per atom
! * calculated density: 6340 kg/m³
! * D(E_F): 0.490 states/eV per atom
&SYSTEM
  ibrav = 0, nat = 12, ntyp = 4
/
ATOMIC_SPECIES
Ac 227.00 Ac.upf
La 138.91 La.upf
Pm 145.00 Pm.upf
S 32.06 S.upf
ATOMIC_POSITIONS crystal
Ac 0.0000 0.0000 0.0000
La 0.3332 0.6668 0.0000
La 0.6668 0.3332 0.0000
Pm 0.1656 0.8344 0.5000
Pm 0.5000 0.5000 0.5000
Pm 0.8344 0.1656 0.5000
S 0.0876 0.4254 0.2621
S 0.2509 0.2509 0.7393
S 0.4254 0.0876 0.2621
S 0.5746 0.9124 0.7379
S 0.7491 0.7491 0.2607
S 0.9124 0.5746 0.7379
CELL_PARAMETERS angstrom
3.5614 -6.1796 0.0000
3.5614 6.1796 0.0000
-2.3857 0.0000 6.7375

=====

[7]
! Nd4Tl PBE optimized geometry; values from VASP
! * DFT formation energy: -80 meV/atom
! * energy above the most stable polymorph in this dataset: 0.0 meV/atom
! * calculated density: 8165 kg/m³
! * D(E_F): 1.311 states/eV per atom
&SYSTEM
  ibrav = 0, nat = 10, ntyp = 2
/
ATOMIC_SPECIES
Nd 144.24 Nd.upf
Tl 204.38 Tl.upf
ATOMIC_POSITIONS crystal
Nd 0.0000 0.0000 0.0000
Nd 0.1486 0.3986 0.7500
Nd 0.2095 0.1990 0.0105
Nd 0.3115 0.8010 0.5105
Nd 0.5000 0.0000 0.5000
Nd 0.6885 0.1990 0.4895
Nd 0.7905 0.8010 0.9895
Nd 0.8514 0.6014 0.2500
Tl 0.3588 0.6088 0.7500
Tl 0.6412 0.3912 0.2500
CELL_PARAMETERS angstrom
-2.7046 3.4857 8.4281
2.7046 -3.4857 8.4281
2.7046 3.4857 -8.4281

=====

[8]
! ErGa7Ni5 PBE optimized geometry; values from VASP
! * DFT formation energy: -457 meV/atom
! * calculated density: 8508 kg/m³
! * D(E_F): 0.521 states/eV per atom
&SYSTEM
  ibrav = 0, nat = 13, ntyp = 3
/
ATOMIC_SPECIES
Er 167.26 Er.upf
Ga 69.72 Ga.upf
Ni 58.69 Ni.upf
ATOMIC_POSITIONS crystal
Er 0.0000 0.0000 0.0000
Ga 0.1897 0.4907 0.6990
Ga 0.2361 0.7361 0.5000
Ga 0.3551 0.3551 0.0000
Ga 0.3614 0.0191 0.3423
Ga 0.6621 0.6621 0.0000
Ga 0.6768 0.0191 0.6577
Ga 0.7917 0.4907 0.3010
Ni 0.0118 0.5046 0.0129
Ni 0.0118 0.9988 0.5071
Ni 0.4917 0.5046 0.4929
Ni 0.4917 0.9988 0.9871
Ni 0.7714 0.2714 0.5000
CELL_PARAMETERS angstrom
-2.5434 4.3253 4.2081
2.5434 -4.3253 4.2081
2.5434 4.3253 -4.2081